The following is a DFT calculation (GGA-PBE) of a geometry-optimized TbPmNdN3 structure.

Properties
Calculated density (kg/m³): 8172
Electronic total energy (eV per atom): -7.7998
E_form (uncorrected) (eV/atom): -1.279
Space-group type: No. 11
Magnetic moment (Bohr magnetons per cell): 0.0
DOS at the Fermi energy (states/eV/atom): 0.0031

Unit cell a=3.475 b=6.116 c=9.430 alpha=96.28 beta=90.00 gamma=90.00
Fractional coordinates of all 12 atoms:
Tb  0.250  0.761  0.052
Tb  0.750  0.239  0.948
Pm  0.250  0.187  0.626
Pm  0.750  0.813  0.374
Nd  0.750  0.711  0.731
Nd  0.250  0.289  0.269
N  0.250  0.779  0.532
N  0.750  0.018  0.148
N  0.750  0.526  0.161
N  0.750  0.221  0.468
N  0.250  0.474  0.839
N  0.250  0.982  0.852